Record 1
DyErTl | GGA-PBE | relaxed

formation energy	-254	meV/atom
calculated density	10.5	g/cm3
symmetry	P6_3/mmc (194)

Cell lengths 5.386, 5.386, 6.694 Å; angles 90.00, 90.00, 120.00 degrees
Fractional coordinates of all 6 atoms:
Dy1 0.000 0.000 0.000
Dy2 0.000 0.000 0.500
Er1 0.333 0.667 0.250
Er2 0.667 0.333 0.750
Tl1 0.333 0.667 0.750
Tl2 0.667 0.333 0.250


Record 2
LiCu2Cl | GGA-PBE | relaxed

uncorrected formation energy	0.1457	eV/atom
calculated density	4.4	g/cm3
symmetry	Cmmm (65)

Cell lengths 3.077, 5.184, 8.027 Å; angles 90.00, 90.00, 90.00 degrees
Fractional coordinates of all 8 atoms:
Li1 0.000 0.000 0.000
Li2 0.500 0.500 0.000
Cu1 0.000 0.500 0.262
Cu2 0.000 0.500 0.738
Cu3 0.500 0.000 0.262
Cu4 0.500 0.000 0.738
Cl1 0.000 0.000 0.500
Cl2 0.500 0.500 0.500


Record 3
Na3BiPd | GGA-PBE | relaxed

formation energy	-177	meV/atom
calculated density	4.4	g/cm3
symmetry	C2/m (12)

Cell lengths 6.688, 6.688, 7.559 Å; angles 111.31, 111.31, 88.55 degrees
Fractional coordinates of all 10 atoms:
Na1 0.004 0.004 0.259
Na2 0.072 0.496 0.244
Na3 0.496 0.072 0.244
Na4 0.504 0.928 0.756
Na5 0.928 0.504 0.756
Na6 0.996 0.996 0.741
Bi1 0.370 0.370 0.647
Bi2 0.630 0.630 0.353
Pd1 0.345 0.345 0.988
Pd2 0.655 0.655 0.012


Number 1: raw total energy -24.6 eV per cell. Number 2: raw total energy -22.7 eV per cell. Number 3: raw total energy -27.8 eV per cell.